P:
VASP calculation (GGA-PBE) on an optimized crystal structure of FeP5.

## Properties
magnetization = 2.4 μB/cell

Cell and atoms, written as CIF:
```
data_FeP5
_chemical_formula_sum 'Fe1 P5'
_space_group_name_H-M_alt 'P 1'
_space_group_IT_number 1
_space_group_name_Hall 'P 1'
_cell_length_a 4.353
_cell_length_b 4.353
_cell_length_c 7.223
_cell_angle_alpha 90.00
_cell_angle_beta 90.00
_cell_angle_gamma 120.00
loop_
_atom_site_label
_atom_site_fract_x
_atom_site_fract_y
_atom_site_fract_z
P1 0.000 0.500 0.500
P2 0.500 0.000 0.500
P3 0.500 0.500 0.500
P4 0.333 0.667 0.000
P5 0.667 0.333 0.000
Fe1 0.000 0.000 0.000
```



Q:
VASP calculation (GGA-PBE) on an optimized crystal structure of FeP5.

## Properties
magnetization = 3.0 μB/cell

Cell and atoms, written as CIF:
```
data_FeP5
_chemical_formula_sum 'Fe1 P5'
_space_group_name_H-M_alt 'P 1'
_space_group_IT_number 1
_space_group_name_Hall 'P 1'
_cell_length_a 4.992
_cell_length_b 4.992
_cell_length_c 4.992
_cell_angle_alpha 60.00
_cell_angle_beta 60.00
_cell_angle_gamma 60.00
loop_
_atom_site_label
_atom_site_fract_x
_atom_site_fract_y
_atom_site_fract_z
P1 0.374 0.374 0.374
P2 0.878 0.374 0.374
P3 0.750 0.750 0.750
Fe1 0.000 0.000 0.000
P4 0.374 0.374 0.878
P5 0.374 0.878 0.374
```



R:
VASP calculation (GGA-PBE) on an optimized crystal structure of FeP5.

## Properties
magnetization = 2.3 μB/cell

Cell and atoms, written as CIF:
```
data_FeP5
_chemical_formula_sum 'Fe1 P5'
_space_group_name_H-M_alt 'P 1'
_space_group_IT_number 1
_space_group_name_Hall 'P 1'
_cell_length_a 4.671
_cell_length_b 4.671
_cell_length_c 4.535
_cell_angle_alpha 90.00
_cell_angle_beta 90.00
_cell_angle_gamma 120.00
loop_
_atom_site_label
_atom_site_fract_x
_atom_site_fract_y
_atom_site_fract_z
P1 0.333 0.667 0.500
P2 0.278 0.278 0.000
P3 0.000 0.722 0.000
P4 0.667 0.333 0.500
P5 0.722 0.000 0.000
Fe1 0.000 0.000 0.500
```



S:
VASP calculation (GGA-PBE) on an optimized crystal structure of FeP5.

## Properties
magnetization = 0.3 μB/cell

Cell and atoms, written as CIF:
```
data_FeP5
_chemical_formula_sum 'Fe1 P5'
_space_group_name_H-M_alt 'P 1'
_space_group_IT_number 1
_space_group_name_Hall 'P 1'
_cell_length_a 2.659
_cell_length_b 2.659
_cell_length_c 13.008
_cell_angle_alpha 90.00
_cell_angle_beta 90.00
_cell_angle_gamma 90.00
loop_
_atom_site_label
_atom_site_fract_x
_atom_site_fract_y
_atom_site_fract_z
P1 0.000 0.000 0.112
Fe1 0.500 0.500 0.000
P2 0.000 0.000 0.500
P3 0.500 0.500 0.641
P4 0.500 0.500 0.359
P5 0.000 0.000 0.888
```



Stability, highest: S



P:
VASP calculation (GGA-PBE) on an optimized crystal structure of FeP5.

## Properties
magnetization = 0.0 μB/cell

Cell and atoms, written as CIF:
```
data_FeP5
_chemical_formula_sum 'Fe1 P5'
_space_group_name_H-M_alt 'P 1'
_space_group_IT_number 1
_space_group_name_Hall 'P 1'
_cell_length_a 6.590
_cell_length_b 6.590
_cell_length_c 4.131
_cell_angle_alpha 90.00
_cell_angle_beta 90.00
_cell_angle_gamma 148.34
loop_
_atom_site_label
_atom_site_fract_x
_atom_site_fract_y
_atom_site_fract_z
P1 0.103 0.897 0.500
P2 0.389 0.611 0.000
P3 0.722 0.278 0.500
P4 0.632 0.368 0.000
P5 0.464 0.536 0.500
Fe1 0.023 0.977 0.000
```



Q:
VASP calculation (GGA-PBE) on an optimized crystal structure of FeP5.

## Properties
magnetization = 0.0 μB/cell

Cell and atoms, written as CIF:
```
data_FeP5
_chemical_formula_sum 'Fe1 P5'
_space_group_name_H-M_alt 'P 1'
_space_group_IT_number 1
_space_group_name_Hall 'P 1'
_cell_length_a 6.376
_cell_length_b 6.376
_cell_length_c 4.270
_cell_angle_alpha 90.00
_cell_angle_beta 90.00
_cell_angle_gamma 147.96
loop_
_atom_site_label
_atom_site_fract_x
_atom_site_fract_y
_atom_site_fract_z
P1 0.884 0.116 0.000
P2 0.808 0.192 0.500
P3 0.116 0.884 0.000
P4 0.192 0.808 0.500
P5 0.500 0.500 0.500
Fe1 0.500 0.500 0.000
```



Stability, highest: Q



P:
VASP calculation (GGA-PBE) on an optimized crystal structure of Fe3P5.

## Properties
magnetization = 0.0 μB/cell

Cell and atoms, written as CIF:
```
data_Fe3P5
_chemical_formula_sum 'Fe6 P10'
_space_group_name_H-M_alt 'P 1'
_space_group_IT_number 1
_space_group_name_Hall 'P 1'
_cell_length_a 7.093
_cell_length_b 7.093
_cell_length_c 4.474
_cell_angle_alpha 90.00
_cell_angle_beta 90.00
_cell_angle_gamma 120.00
loop_
_atom_site_label
_atom_site_fract_x
_atom_site_fract_y
_atom_site_fract_z
P1 0.274 0.274 0.750
Fe1 0.387 0.387 0.250
P2 0.333 0.667 0.000
P3 0.726 0.000 0.750
P4 0.333 0.667 0.500
P5 0.667 0.333 0.500
Fe2 0.387 0.000 0.750
Fe3 0.000 0.613 0.250
P6 0.000 0.726 0.750
P7 0.726 0.726 0.250
Fe4 0.000 0.387 0.750
Fe5 0.613 0.000 0.250
Fe6 0.613 0.613 0.750
P8 0.000 0.274 0.250
P9 0.274 0.000 0.250
P10 0.667 0.333 0.000
```



Q:
VASP calculation (GGA-PBE) on an optimized crystal structure of Fe3P5.

## Properties
magnetization = 0.0 μB/cell

Cell and atoms, written as CIF:
```
data_Fe3P5
_chemical_formula_sum 'Fe3 P5'
_space_group_name_H-M_alt 'P 1'
_space_group_IT_number 1
_space_group_name_Hall 'P 1'
_cell_length_a 5.374
_cell_length_b 5.374
_cell_length_c 3.977
_cell_angle_alpha 90.00
_cell_angle_beta 90.00
_cell_angle_gamma 122.93
loop_
_atom_site_label
_atom_site_fract_x
_atom_site_fract_y
_atom_site_fract_z
P1 0.000 0.000 0.000
Fe1 0.305 0.695 0.500
Fe2 0.500 0.500 0.000
P2 0.263 0.263 0.500
P3 0.737 0.737 0.500
Fe3 0.695 0.305 0.500
P4 0.000 0.500 0.000
P5 0.500 0.000 0.000
```



R:
VASP calculation (GGA-PBE) on an optimized crystal structure of Fe3P5.

## Properties
magnetization = 1.0 μB/cell

Cell and atoms, written as CIF:
```
data_Fe3P5
_chemical_formula_sum 'Fe6 P10'
_space_group_name_H-M_alt 'P 1'
_space_group_IT_number 1
_space_group_name_Hall 'P 1'
_cell_length_a 6.553
_cell_length_b 6.553
_cell_length_c 5.876
_cell_angle_alpha 80.61
_cell_angle_beta 80.61
_cell_angle_gamma 121.10
loop_
_atom_site_label
_atom_site_fract_x
_atom_site_fract_y
_atom_site_fract_z
Fe1 0.696 0.893 0.541
P1 0.315 0.815 0.489
P2 0.612 0.505 0.687
Fe2 0.739 0.728 0.970
P3 0.005 0.112 0.687
P4 0.553 0.290 0.126
Fe3 0.936 0.436 0.853
P5 0.364 0.651 0.872
P6 0.948 0.843 0.260
P7 0.343 0.448 0.260
P8 0.790 0.053 0.126
P9 0.796 0.296 0.527
Fe4 0.130 0.630 0.228
Fe5 0.228 0.239 0.970
Fe6 0.393 0.196 0.541
P10 0.151 0.864 0.872
```



Stability, highest: R



P:
VASP calculation (GGA-PBE) on an optimized crystal structure of Fe5P3.

## Properties
magnetization = 11.1 μB/cell

Cell and atoms, written as CIF:
```
data_Fe5P3
_chemical_formula_sum 'Fe10 P6'
_space_group_name_H-M_alt 'P 1'
_space_group_IT_number 1
_space_group_name_Hall 'P 1'
_cell_length_a 6.423
_cell_length_b 6.423
_cell_length_c 4.887
_cell_angle_alpha 90.00
_cell_angle_beta 90.00
_cell_angle_gamma 120.00
loop_
_atom_site_label
_atom_site_fract_x
_atom_site_fract_y
_atom_site_fract_z
Fe1 0.333 0.667 0.000
Fe2 0.667 0.333 0.500
P1 0.000 0.606 0.250
P2 0.000 0.394 0.750
Fe3 0.747 0.000 0.750
P3 0.394 0.394 0.250
Fe4 0.667 0.333 0.000
P4 0.606 0.606 0.750
P5 0.606 0.000 0.250
Fe5 0.253 0.000 0.250
P6 0.394 0.000 0.750
Fe6 0.000 0.253 0.250
Fe7 0.747 0.747 0.250
Fe8 0.333 0.667 0.500
Fe9 0.000 0.747 0.750
Fe10 0.253 0.253 0.750
```



Q:
VASP calculation (GGA-PBE) on an optimized crystal structure of Fe5P3.

## Properties
magnetization = 11.6 μB/cell

Cell and atoms, written as CIF:
```
data_Fe5P3
_chemical_formula_sum 'Fe10 P6'
_space_group_name_H-M_alt 'P 1'
_space_group_IT_number 1
_space_group_name_Hall 'P 1'
_cell_length_a 6.468
_cell_length_b 6.468
_cell_length_c 6.468
_cell_angle_alpha 98.39
_cell_angle_beta 98.39
_cell_angle_gamma 135.09
loop_
_atom_site_label
_atom_site_fract_x
_atom_site_fract_y
_atom_site_fract_z
Fe1 0.753 0.892 0.716
Fe2 0.293 0.793 0.500
Fe3 0.392 0.254 0.716
Fe4 0.676 0.392 0.139
P1 0.223 0.223 0.000
P2 0.723 0.723 0.000
Fe5 0.538 0.676 0.284
Fe6 0.892 0.177 0.139
P3 0.727 0.227 0.827
P4 0.899 0.727 0.500
Fe7 0.793 0.293 0.500
P5 0.399 0.900 0.173
Fe8 0.176 0.038 0.284
Fe9 0.253 0.538 0.861
Fe10 0.037 0.753 0.861
P6 0.227 0.400 0.500
```



R:
VASP calculation (GGA-PBE) on an optimized crystal structure of Fe5P3.

## Properties
magnetization = 1.4 μB/cell

Cell and atoms, written as CIF:
```
data_Fe5P3
_chemical_formula_sum 'Fe5 P3'
_space_group_name_H-M_alt 'P 1'
_space_group_IT_number 1
_space_group_name_Hall 'P 1'
_cell_length_a 4.926
_cell_length_b 4.926
_cell_length_c 3.609
_cell_angle_alpha 90.00
_cell_angle_beta 90.00
_cell_angle_gamma 103.79
loop_
_atom_site_label
_atom_site_fract_x
_atom_site_fract_y
_atom_site_fract_z
P1 0.815 0.185 0.500
Fe1 0.290 0.290 0.500
P2 0.185 0.815 0.500
P3 0.500 0.500 0.000
Fe2 0.500 0.000 0.000
Fe3 0.000 0.500 0.000
Fe4 0.000 0.000 0.000
Fe5 0.710 0.710 0.500
```



Stability, highest: Q



P:
VASP calculation (GGA-PBE) on an optimized crystal structure of PaFe2P.

## Properties
magnetization = 0.0 μB/cell

Cell and atoms, written as CIF:
```
data_PaFe2P
_chemical_formula_sum 'Pa1 Fe2 P1'
_space_group_name_H-M_alt 'P 1'
_space_group_IT_number 1
_space_group_name_Hall 'P 1'
_cell_length_a 3.763
_cell_length_b 3.763
_cell_length_c 5.209
_cell_angle_alpha 68.83
_cell_angle_beta 68.83
_cell_angle_gamma 60.00
loop_
_atom_site_label
_atom_site_fract_x
_atom_site_fract_y
_atom_site_fract_z
P1 0.500 0.500 0.500
Fe1 0.215 0.215 0.355
Pa1 0.000 0.000 0.000
Fe2 0.785 0.785 0.645
```



Q:
VASP calculation (GGA-PBE) on an optimized crystal structure of PaFe2P.

## Properties
magnetization = 0.4 μB/cell

Cell and atoms, written as CIF:
```
data_PaFe2P
_chemical_formula_sum 'Pa1 Fe2 P1'
_space_group_name_H-M_alt 'P 1'
_space_group_IT_number 1
_space_group_name_Hall 'P 1'
_cell_length_a 3.696
_cell_length_b 4.018
_cell_length_c 4.301
_cell_angle_alpha 93.57
_cell_angle_beta 90.00
_cell_angle_gamma 90.00
loop_
_atom_site_label
_atom_site_fract_x
_atom_site_fract_y
_atom_site_fract_z
Fe1 0.000 0.869 0.753
Pa1 0.500 0.500 0.000
P1 0.500 0.000 0.500
Fe2 0.000 0.131 0.247
```



Stability, highest: P